First-principles (PBE) data for a relaxed MgCdAg crystal, as listed in Alexandria via LeMat-Bulk.

Unit cell a=4.996 b=4.498 c=5.995 alpha=89.96 beta=98.78 gamma=63.20
Atoms (fractional coordinates):
1 Mg 0.670 0.164 0.400
2 Mg 0.330 0.836 0.600
3 Cd 0.668 0.166 0.900
4 Cd 0.332 0.834 0.100
5 Ag 0.994 0.503 0.738
6 Ag 0.006 0.497 0.262

## Properties
* DFT formation energy: -103.4 meV/atom



First-principles (PBE) data for a relaxed Ba2YCd crystal, as listed in Alexandria via LeMat-Bulk.

Unit cell a=7.265 b=7.265 c=7.265 alpha=145.36 beta=133.16 gamma=59.55
Atoms (fractional coordinates):
1 Ba 0.966 0.966 0.000
2 Ba 0.534 0.534 0.000
3 Cd 0.750 0.250 0.500
4 Y 0.250 0.750 0.500

## Properties
* DFT formation energy: 94.4 meV/atom



First-principles (PBE) data for a relaxed Pd5Pt5Au crystal, as listed in Alexandria via LeMat-Bulk.

Unit cell a=5.029 b=5.029 c=9.293 alpha=90.00 beta=90.00 gamma=120.00
Atoms (fractional coordinates):
1 Pd 0.667 0.333 0.233
2 Pd 0.667 0.333 0.767
3 Pd 0.333 0.667 0.301
4 Pd 0.333 0.667 0.699
5 Pd 0.000 0.000 0.000
6 Pt 0.337 0.169 0.500
7 Pt 0.000 0.000 0.263
8 Pt 0.831 0.663 0.500
9 Pt 0.831 0.169 0.500
10 Pt 0.000 0.000 0.737
11 Au 0.333 0.667 0.000

## Properties
* DFT formation energy: 414.4 meV/atom



First-principles (PBE) data for a relaxed TiTl2BrCl5 crystal, as listed in Alexandria via LeMat-Bulk.

Unit cell a=7.187 b=7.187 c=7.187 alpha=88.56 beta=120.83 gamma=120.83
Atoms (fractional coordinates):
1 Ti 0.000 0.004 0.004
2 Tl 0.500 0.256 0.756
3 Tl 0.500 0.756 0.256
4 Br 0.000 0.754 0.754
5 Cl 0.468 0.233 0.233
6 Cl 0.532 0.765 0.765
7 Cl 0.000 0.765 0.233
8 Cl 0.000 0.233 0.765
9 Cl 0.000 0.233 0.233

## Properties
* formation energy (no corrections): -1301 meV per atom



First-principles (PBE) data for a relaxed Nd4Se3 crystal, as listed in Alexandria via LeMat-Bulk.

Unit cell a=4.144 b=4.144 c=13.895 alpha=81.42 beta=81.42 gamma=60.00
Atoms (fractional coordinates):
1 Nd 0.378 0.378 0.865
2 Nd 0.129 0.129 0.612
3 Nd 0.871 0.871 0.388
4 Nd 0.622 0.622 0.135
5 Se 0.753 0.753 0.740
6 Se 0.247 0.247 0.260
7 Se 0.000 0.000 0.000

## Properties
* formation energy (no corrections): -1529 meV per atom



First-principles (PBE) data for a relaxed ErMg3Ag2 crystal, as listed in Alexandria via LeMat-Bulk.

Unit cell a=4.391 b=7.077 c=8.540 alpha=90.00 beta=90.00 gamma=90.00
Atoms (fractional coordinates):
1 Er 0.500 0.531 0.575
2 Er 0.500 0.031 0.425
3 Mg 0.000 0.470 0.919
4 Mg 0.000 0.970 0.081
5 Mg 0.500 0.643 0.189
6 Mg 0.500 0.143 0.811
7 Mg 0.000 0.354 0.300
8 Mg 0.000 0.854 0.700
9 Ag 0.500 0.757 0.884
10 Ag 0.500 0.257 0.116
11 Ag 0.000 0.245 0.623
12 Ag 0.000 0.745 0.377

## Properties
* DFT formation energy: -205.2 meV/atom



First-principles (PBE) data for a relaxed KLiBe2 crystal, as listed in Alexandria via LeMat-Bulk.

Unit cell a=5.037 b=5.398 c=3.437 alpha=82.44 beta=66.39 gamma=109.82
Atoms (fractional coordinates):
1 Be 0.000 0.000 0.000
2 Be 0.500 0.000 0.500
3 K 0.000 0.500 0.500
4 Li 0.500 0.500 0.000

## Properties
* DFT formation energy: 1010.2 meV/atom



First-principles (PBE) data for a relaxed Th2SiPb crystal, as listed in Alexandria via LeMat-Bulk.

Unit cell a=3.554 b=3.554 c=8.546 alpha=90.00 beta=90.00 gamma=90.00
Atoms (fractional coordinates):
1 Pb 0.500 0.500 0.500
2 Si 0.500 0.500 0.000
3 Th 0.000 0.000 0.786
4 Th 0.000 0.000 0.214

## Properties
* formation energy (no corrections): -389 meV per atom



First-principles (PBE) data for a relaxed LiLa5Mg4 crystal, as listed in Alexandria via LeMat-Bulk.

Unit cell a=3.957 b=3.957 c=19.759 alpha=90.00 beta=90.00 gamma=90.00
Atoms (fractional coordinates):
1 Li 0.000 0.000 0.000
2 La 0.500 0.500 0.100
3 La 0.500 0.500 0.298
4 La 0.500 0.500 0.500
5 La 0.500 0.500 0.702
6 La 0.500 0.500 0.900
7 Mg 0.000 0.000 0.199
8 Mg 0.000 0.000 0.399
9 Mg 0.000 0.000 0.601
10 Mg 0.000 0.000 0.801

## Properties
* DFT formation energy: -71.6 meV/atom



First-principles (PBE) data for a relaxed LiMgAg2F6 crystal, as listed in Alexandria via LeMat-Bulk.

Unit cell a=5.671 b=5.641 c=7.619 alpha=90.00 beta=90.21 gamma=90.00
Site moments in Bohr magnetons follow the coordinates.
Atoms (fractional coordinates):
1 Li 0.500 0.000 0.000  0.00
2 Li 0.000 0.500 0.500  0.00
3 Mg 0.500 0.000 0.500  0.00
4 Mg 0.000 0.500 0.000  0.00
5 Ag 0.990 0.986 0.250  0.31
6 Ag 0.490 0.514 0.750  0.31
7 Ag 0.010 0.014 0.750  0.31
8 Ag 0.510 0.486 0.250  0.31
9 F 0.323 0.659 0.019  0.09
10 F 0.823 0.841 0.519  0.09
11 F 0.677 0.341 0.981  0.09
12 F 0.177 0.159 0.481  0.09
13 F 0.341 0.676 0.481  0.09
14 F 0.841 0.824 0.981  0.09
15 F 0.659 0.324 0.519  0.09
16 F 0.159 0.176 0.019  0.09
17 F 0.959 0.519 0.253  0.00
18 F 0.459 0.981 0.753  0.00
19 F 0.041 0.481 0.747  0.00
20 F 0.541 0.019 0.247  0.00

## Properties
* formation energy (no corrections): -2164 meV per atom



First-principles (PBE) data for a relaxed Ti2TcPt2 crystal, as listed in Alexandria via LeMat-Bulk.

Unit cell a=7.467 b=7.467 c=2.870 alpha=90.00 beta=90.00 gamma=90.00
Atoms (fractional coordinates):
1 Tc 0.000 0.000 0.000
2 Tc 0.500 0.500 0.000
3 Pt 0.369 0.869 0.000
4 Pt 0.869 0.631 0.000
5 Pt 0.631 0.131 0.000
6 Pt 0.131 0.369 0.000
7 Ti 0.169 0.669 0.500
8 Ti 0.669 0.831 0.500
9 Ti 0.831 0.331 0.500
10 Ti 0.331 0.169 0.500

## Properties
* DFT formation energy: -512.3 meV/atom



First-principles (PBE) data for a relaxed La5Pr2Nd12 crystal, as listed in Alexandria via LeMat-Bulk.

Unit cell a=10.756 b=9.659 c=11.385 alpha=54.31 beta=90.00 gamma=123.83
Atoms (fractional coordinates):
1 La 0.229 0.458 0.680
2 La 0.305 0.610 0.293
3 La 0.000 0.000 0.500
4 La 0.695 0.390 0.707
5 La 0.771 0.542 0.320
6 Pr 0.749 0.000 0.000
7 Pr 0.251 0.000 0.000
8 Nd 0.095 0.189 0.099
9 Nd 0.029 0.591 0.809
10 Nd 0.562 0.591 0.809
11 Nd 0.132 0.793 0.400
12 Nd 0.661 0.793 0.400
13 Nd 0.404 0.808 0.872
14 Nd 0.596 0.192 0.128
15 Nd 0.868 0.207 0.600
16 Nd 0.339 0.207 0.600
17 Nd 0.971 0.409 0.191
18 Nd 0.438 0.409 0.191
19 Nd 0.905 0.811 0.901

## Properties
* DFT formation energy: 97.3 meV/atom



Number 1: N(E_F) 1.055 states/eV per cell, E -1.890 eV/atom. Number 2: N(E_F) 6.082 states/eV per cell, E -2.712 eV/atom. Number 3: N(E_F) 21.789 states/eV per cell, E -4.990 eV/atom. Number 4: N(E_F) 0.000 states/eV per cell, E -3.915 eV/atom. Number 5: N(E_F) 3.543 states/eV per cell, E -5.747 eV/atom. Number 6: N(E_F) 6.979 states/eV per cell, E -2.713 eV/atom. Number 7: N(E_F) 2.103 states/eV per cell, E -1.606 eV/atom. Number 8: N(E_F) 5.262 states/eV per cell, E -6.382 eV/atom. Number 9: N(E_F) 10.653 states/eV per cell, E -3.365 eV/atom. Number 10: N(E_F) 4.589 states/eV per cell, E -4.208 eV/atom. Number 11: N(E_F) 12.369 states/eV per cell, E -8.160 eV/atom. Number 12: N(E_F) 32.248 states/eV per cell, E -4.714 eV/atom.